[1]
Below is a relaxed structure of NaLi3Pb2, with properties calculated at the GGA-PBE level.

POSCAR file:
```
NaLi3Pb2
1.0
6.069 0.000 0.000
-3.034 5.256 0.000
0.000 0.000 4.675
Na Li Pb
1 3 2
direct
0.000 0.000 0.000
0.000 0.500 0.000
0.500 0.000 0.000
0.500 0.500 0.000
0.333 0.667 0.500
0.667 0.333 0.500
```

The value obtained for the formation energy is -0.130 eV/atom.

[2]
Below is a relaxed structure of Na8LiPb2, with properties calculated at the GGA-PBE level.

POSCAR file:
```
Na8LiPb2
1.0
4.508 -8.559 0.000
4.508 8.559 0.000
-3.796 0.000 4.466
Na Li Pb
8 1 2
direct
0.094 0.392 0.761
0.192 0.808 0.000
0.392 0.094 0.761
0.425 0.425 0.658
0.575 0.575 0.342
0.608 0.906 0.239
0.808 0.192 0.000
0.906 0.608 0.239
0.000 0.000 0.000
0.327 0.673 0.500
0.673 0.327 0.500
```

The value obtained for the formation energy is -0.021 eV/atom.

[3]
Below is a relaxed structure of Na3LiPb, with properties calculated at the GGA-PBE level.

POSCAR file:
```
Na3LiPb
1.0
5.323 0.000 0.000
2.631 4.642 0.000
2.598 1.468 5.481
Na Li Pb
3 1 1
direct
0.000 0.000 0.000
0.187 0.188 0.438
0.590 0.592 0.229
0.412 0.413 0.765
0.786 0.787 0.643
```

The value obtained for the formation energy is -0.134 eV/atom.

[4]
Below is a relaxed structure of NaLiPb3, with properties calculated at the GGA-PBE level.

POSCAR file:
```
NaLiPb3
1.0
5.271 0.000 0.000
0.000 5.271 0.000
0.000 0.000 5.271
Na Li Pb
1 1 3
direct
0.000 0.000 0.000
0.500 0.500 0.500
0.000 0.500 0.500
0.500 0.000 0.500
0.500 0.500 0.000
```

The value obtained for the formation energy is 0.001 eV/atom.

[5]
Below is a relaxed structure of NaLi3Pb6, with properties calculated at the GGA-PBE level.

POSCAR file:
```
NaLi3Pb6
1.0
9.669 0.000 0.000
0.000 4.993 0.000
-1.049 0.000 10.743
Na Li Pb
2 6 12
direct
0.054 0.250 0.406
0.946 0.750 0.594
0.258 0.250 0.038
0.359 0.750 0.823
0.452 0.250 0.603
0.548 0.750 0.397
0.641 0.250 0.177
0.742 0.750 0.962
0.065 0.750 0.910
0.155 0.750 0.215
0.188 0.250 0.736
0.279 0.750 0.527
0.380 0.250 0.322
0.469 0.750 0.104
0.531 0.250 0.896
0.620 0.750 0.678
0.721 0.250 0.473
0.812 0.750 0.264
0.845 0.250 0.785
0.935 0.250 0.090
```

The value obtained for the formation energy is -0.181 eV/atom.

[6]
Below is a relaxed structure of NaLi4Pb2, with properties calculated at the GGA-PBE level.

POSCAR file:
```
NaLi4Pb2
1.0
5.484 0.000 0.000
0.000 6.020 0.000
-2.129 0.000 9.238
Na Li Pb
2 8 4
direct
0.011 0.250 0.307
0.989 0.750 0.693
0.159 0.250 0.629
0.352 0.750 0.965
0.393 0.511 0.220
0.393 0.989 0.220
0.607 0.011 0.780
0.607 0.489 0.780
0.648 0.250 0.035
0.841 0.750 0.371
0.118 0.250 0.941
0.382 0.750 0.503
0.618 0.250 0.497
0.882 0.750 0.059
```

The value obtained for the formation energy is -0.199 eV/atom.

[7]
Below is a relaxed structure of NaLi2Pb2, with properties calculated at the GGA-PBE level.

POSCAR file:
```
NaLi2Pb2
1.0
8.403 0.000 0.000
0.000 8.403 0.000
0.000 0.000 3.520
Na Li Pb
2 4 4
direct
0.000 0.000 0.000
0.500 0.500 0.000
0.165 0.335 0.500
0.335 0.835 0.500
0.665 0.165 0.500
0.835 0.665 0.500
0.132 0.632 0.000
0.368 0.132 0.000
0.632 0.868 0.000
0.868 0.368 0.000
```

The value obtained for the formation energy is -0.216 eV/atom.

[8]
Below is a relaxed structure of Na2LiPb2, with properties calculated at the GGA-PBE level.

POSCAR file:
```
Na2LiPb2
1.0
7.491 0.000 0.000
0.000 7.491 0.000
0.000 0.000 5.101
Na Li Pb
4 2 4
direct
0.159 0.341 0.000
0.341 0.841 0.000
0.659 0.159 0.000
0.841 0.659 0.000
0.000 0.000 0.500
0.500 0.500 0.500
0.152 0.652 0.500
0.348 0.152 0.500
0.652 0.848 0.500
0.848 0.348 0.500
```

The value obtained for the formation energy is -0.105 eV/atom.

[9]
Below is a relaxed structure of Na2LiPb, with properties calculated at the GGA-PBE level.

POSCAR file:
```
Na2LiPb
1.0
-2.206 2.206 11.461
2.206 -2.206 11.461
2.206 2.206 -11.461
Na Li Pb
4 2 2
direct
0.120 0.625 0.995
0.375 0.370 0.495
0.630 0.125 0.005
0.875 0.880 0.505
0.250 0.750 0.500
0.500 0.500 0.000
0.000 0.000 0.000
0.750 0.250 0.500
```

The value obtained for the formation energy is -0.017 eV/atom.

[10]
Below is a relaxed structure of NaLiPdPb2, with properties calculated at the GGA-PBE level.

POSCAR file:
```
NaLiPdPb2
1.0
5.339 0.000 0.000
0.000 5.339 0.000
0.000 0.000 4.943
Na Li Pd Pb
1 1 1 2
direct
0.000 0.000 0.000
0.500 0.500 0.000
0.500 0.500 0.500
0.000 0.500 0.500
0.500 0.000 0.500
```

The value obtained for the formation energy is -0.117 eV/atom.

[11]
Below is a relaxed structure of NaLiPdPb, with properties calculated at the GGA-PBE level.

POSCAR file:
```
NaLiPdPb
1.0
0.000 3.392 3.392
3.392 0.000 3.392
3.392 3.392 0.000
Na Li Pd Pb
1 1 1 1
direct
0.000 0.000 0.000
0.750 0.750 0.750
0.250 0.250 0.250
0.500 0.500 0.500
```

The value obtained for the formation energy is -0.278 eV/atom.

[12]
Below is a relaxed structure of NaLi2PmPb2, with properties calculated at the GGA-PBE level.

POSCAR file:
```
NaLi2PmPb2
1.0
4.979 0.000 0.000
-2.490 4.312 0.000
0.000 0.000 7.175
Na Li Pm Pb
1 2 1 2
direct
0.000 0.000 0.000
0.333 0.667 0.769
0.667 0.333 0.231
0.000 0.000 0.500
0.333 0.667 0.279
0.667 0.333 0.721
```

The value obtained for the formation energy is -0.350 eV/atom.

no.,N(E_F) (states/eV/cell),total DFT energy (no corrections) (eV per atom),size of the total moment (μB per atom)
1,2.82,-2.543,0.00
2,4.57,-1.828,0.00
3,1.23,-2.050,0.00
4,2.31,-2.871,0.00
5,7.88,-3.112,0.00
6,4.01,-2.540,0.00
7,2.96,-2.729,0.00
8,3.19,-2.499,0.00
9,2.60,-2.082,0.00
10,2.30,-3.285,0.00
11,1.74,-3.311,0.00
12,2.89,-3.236,0.00